Zr2FeSi2 | GGA-PBE | optimized geometry

Values from the calculation:
Formation energy (no corrections): -353 kJ/mol of formula units

Cell lengths 6.215, 6.215, 4.178 Å; angles 90.00, 90.00, 90.00 degrees
Positions (direct):
Zr  0.174  0.326  0.000
Zr  0.326  0.826  0.000
Zr  0.674  0.174  0.000
Zr  0.826  0.674  0.000
Fe  0.000  0.000  0.500
Fe  0.500  0.500  0.500
Si  0.139  0.639  0.500
Si  0.361  0.139  0.500
Si  0.639  0.861  0.500
Si  0.861  0.361  0.500


ZrFe2Si3 | GGA-PBE | optimized geometry

Values from the calculation:
Formation energy (no corrections): 90 kJ/mol of formula units

Cell lengths 4.746, 4.746, 9.552 Å; angles 90.00, 90.00, 120.00 degrees
Positions (direct):
Zr  0.000  0.000  0.000
Zr  0.000  0.000  0.500
Fe  0.333  0.667  0.124
Fe  0.333  0.667  0.376
Fe  0.667  0.333  0.624
Fe  0.667  0.333  0.876
Si  0.169  0.338  0.750
Si  0.169  0.831  0.750
Si  0.338  0.169  0.250
Si  0.662  0.831  0.750
Si  0.831  0.169  0.250
Si  0.831  0.662  0.250


Zr6Fe16Si7 | GGA-PBE | optimized geometry

Values from the calculation:
Formation energy (no corrections): -1530 kJ/mol of formula units

Cell lengths 8.100, 8.100, 8.100 Å; angles 60.00, 60.00, 60.00 degrees
Positions (direct):
Zr  0.206  0.206  0.794
Zr  0.206  0.794  0.206
Zr  0.206  0.794  0.794
Zr  0.794  0.206  0.206
Zr  0.794  0.206  0.794
Zr  0.794  0.794  0.206
Fe  0.135  0.622  0.622
Fe  0.176  0.176  0.176
Fe  0.176  0.176  0.471
Fe  0.176  0.471  0.176
Fe  0.378  0.378  0.378
Fe  0.378  0.378  0.865
Fe  0.378  0.865  0.378
Fe  0.471  0.176  0.176
Fe  0.529  0.824  0.824
Fe  0.622  0.135  0.622
Fe  0.622  0.622  0.135
Fe  0.622  0.622  0.622
Fe  0.824  0.529  0.824
Fe  0.824  0.824  0.529
Fe  0.824  0.824  0.824
Fe  0.865  0.378  0.378
Si  0.000  0.000  0.500
Si  0.000  0.500  0.000
Si  0.000  0.500  0.500
Si  0.500  0.000  0.000
Si  0.500  0.000  0.500
Si  0.500  0.500  0.000
Si  0.500  0.500  0.500


ZrFeSi2 | GGA-PBE | optimized geometry

Values from the calculation:
Formation energy (no corrections): -273 kJ/mol of formula units

Cell lengths 9.771, 9.771, 14.159 Å; angles 90.00, 90.00, 149.44 degrees
Positions (direct):
Zr  0.036  0.964  0.825
Zr  0.123  0.877  0.083
Zr  0.202  0.798  0.317
Zr  0.298  0.702  0.817
Zr  0.377  0.623  0.583
Zr  0.464  0.536  0.325
Zr  0.536  0.464  0.675
Zr  0.623  0.377  0.417
Zr  0.702  0.298  0.183
Zr  0.798  0.202  0.683
Zr  0.877  0.123  0.917
Zr  0.964  0.036  0.175
Fe  0.000  0.500  0.000
Fe  0.000  0.500  0.500
Fe  0.041  0.959  0.377
Fe  0.087  0.413  0.250
Fe  0.413  0.087  0.750
Fe  0.459  0.541  0.877
Fe  0.500  0.000  0.000
Fe  0.500  0.000  0.500
Fe  0.541  0.459  0.123
Fe  0.587  0.913  0.250
Fe  0.913  0.587  0.750
Fe  0.959  0.041  0.623
Si  0.089  0.911  0.644
Si  0.141  0.859  0.493
Si  0.167  0.333  0.750
Si  0.170  0.830  0.899
Si  0.236  0.764  0.642
Si  0.244  0.244  0.000
Si  0.256  0.256  0.500
Si  0.264  0.736  0.142
Si  0.330  0.670  0.399
Si  0.333  0.167  0.250
Si  0.359  0.641  0.993
Si  0.411  0.589  0.144
Si  0.589  0.411  0.856
Si  0.641  0.359  0.007
Si  0.667  0.833  0.750
Si  0.670  0.330  0.601
Si  0.736  0.264  0.858
Si  0.744  0.744  0.500
Si  0.756  0.756  0.000
Si  0.764  0.236  0.358
Si  0.830  0.170  0.101
Si  0.833  0.667  0.250
Si  0.859  0.141  0.507
Si  0.911  0.089  0.356


Zr4FeSi2 | GGA-PBE | optimized geometry

Values from the calculation:
Formation energy (no corrections): -97 kJ/mol of formula units

Cell lengths 9.301, 9.301, 3.079 Å; angles 90.00, 90.00, 90.00 degrees
Positions (direct):
Zr  0.095  0.319  0.000
Zr  0.181  0.595  0.500
Zr  0.319  0.095  0.000
Zr  0.405  0.819  0.500
Zr  0.595  0.181  0.500
Zr  0.681  0.905  0.000
Zr  0.819  0.405  0.500
Zr  0.905  0.681  0.000
Fe  0.000  0.000  0.500
Fe  0.500  0.500  0.000
Si  0.148  0.852  0.000
Si  0.352  0.352  0.500
Si  0.648  0.648  0.500
Si  0.852  0.148  0.000


ZrFeSi2 | GGA-PBE | optimized geometry

Values from the calculation:
Formation energy (no corrections): -180 kJ/mol of formula units

Cell lengths 2.903, 2.903, 6.624 Å; angles 90.00, 90.00, 90.10 degrees
Positions (direct):
Zr  0.000  0.000  0.000
Fe  0.000  0.000  0.500
Si  0.500  0.500  0.303
Si  0.500  0.500  0.697


ZrFeSi3 | GGA-PBE | optimized geometry

Values from the calculation:
Formation energy (no corrections): 136 kJ/mol of formula units

Cell lengths 4.358, 4.358, 4.358 Å; angles 90.00, 90.00, 90.00 degrees
Positions (direct):
Zr  0.000  0.000  0.000
Fe  0.500  0.500  0.500
Si  0.000  0.500  0.500
Si  0.500  0.000  0.500
Si  0.500  0.500  0.000


ZrFeSi2 | GGA-PBE | optimized geometry

Values from the calculation:
Formation energy (no corrections): -126 kJ/mol of formula units

Cell lengths 3.657, 4.970, 4.970 Å; angles 43.40, 90.00, 90.00 degrees
Positions (direct):
Zr  0.000  0.000  0.000
Fe  0.500  0.277  0.277
Si  0.000  0.725  0.725
Si  0.500  0.552  0.552